(1)
VASP calculation (PBE) on a geometry-optimized ZrAgMo2 structure.

Cell and atoms, written as POSCAR:
```
ZrAgMo2
1.0
-2.8402 3.5726 -1.8701
-2.0302 -1.8247 -0.4026
-2.3772 0.5749 4.7087
Mo Zr Ag
2 1 1
direct
0.0000 0.9501 0.0190 Mo
0.0000 0.5499 0.4810 Mo
0.5000 0.2500 0.2500 Zr
0.5000 0.7500 0.7500 Ag
```

Properties
energy relative to the lowest polymorph listed for this composition = 171 meV per atom
total moment = 0.0 μB/f.u.
formation energy from the elements = 0.30 eV per atom
DOS(E_F) = 0.906 states/eV per atom
VASP energy = -31.86 eV/cell

---

(2)
VASP calculation (PBE) on a geometry-optimized Zr2AgMo structure.

Cell and atoms, written as POSCAR:
```
Zr2AgMo
1.0
-0.0507 2.6555 -3.9294
2.6313 -3.2528 -2.2322
-2.8655 -1.6009 -1.0450
Ag Zr Mo
1 2 1
direct
0.5000 0.0000 0.5000 Ag
0.0000 0.0000 0.0000 Zr
0.5000 0.5000 0.0000 Zr
0.0000 0.5000 0.5000 Mo
```

Properties
energy relative to the lowest polymorph listed for this composition = 90 meV per atom
total moment = 0.0 μB/f.u.
formation energy from the elements = -0.01 eV per atom
DOS(E_F) = 0.942 states/eV per atom
VASP energy = -30.80 eV/cell

---

(3)
VASP calculation (PBE) on a geometry-optimized ZrAg2Mo structure.

Cell and atoms, written as POSCAR:
```
ZrAg2Mo
1.0
10.3054 -0.0126 -0.0074
9.9070 2.8378 -0.0074
9.9070 1.3848 2.4770
Mo Ag Zr
1 2 1
direct
0.2500 0.2500 0.2500 Mo
0.9966 0.9966 0.9966 Ag
0.5034 0.5034 0.5034 Ag
0.7500 0.7500 0.7500 Zr
```

Properties
energy relative to the lowest polymorph listed for this composition = 210 meV per atom
total moment = 0.0 μB/f.u.
formation energy from the elements = 0.39 eV per atom
DOS(E_F) = 0.991 states/eV per atom
VASP energy = -23.54 eV/cell